# Mn3Cr3Sn2O16 | Alexandria | meta-GGA SCAN | PBEsol geometry
data_Mn3Cr3Sn2O16
_chemical_formula_sum 'Mn3 Cr3 Sn2 O16'
_cell_length_a 5.693
_cell_length_b 5.720
_cell_length_c 9.394
_cell_angle_alpha 89.93
_cell_angle_beta 90.00
_cell_angle_gamma 119.84
_symmetry_space_group_name_H-M 'P 1'
_symmetry_Int_Tables_number 1
_symmetry_space_group_name_Hall 'P 1'
loop_
_atom_site_label
_atom_site_type_symbol
_atom_site_fract_x
_atom_site_fract_y
_atom_site_fract_z
_atom_site_occupancy
O1 O 0.662 0.323 0.392 1
O2 O 0.484 0.517 0.671 1
O3 O 0.002 0.003 0.187 1
O4 O 0.841 0.161 0.892 1
O5 O 0.516 0.031 0.171 1
O6 O 0.478 0.956 0.672 1
O7 O 0.004 0.009 0.686 1
O8 O 0.156 0.313 0.394 1
O9 O 0.963 0.479 0.173 1
O10 O 0.321 0.161 0.892 1
O11 O 0.333 0.666 0.891 1
O12 O 0.837 0.674 0.889 1
O13 O 0.516 0.479 0.173 1
O14 O 0.158 0.834 0.390 1
O15 O 0.677 0.834 0.390 1
O16 O 0.033 0.517 0.671 1
Mn1 Mn 0.172 0.343 0.785 1
Mn2 Mn 0.336 0.167 0.285 1
Mn3 Mn 0.831 0.167 0.285 1
Cr1 Cr 0.168 0.838 0.789 1
Cr2 Cr 0.671 0.838 0.789 1
Cr3 Cr 0.833 0.666 0.290 1
Sn1 Sn 0.666 0.331 0.011 1
Sn2 Sn 0.329 0.659 0.509 1
# SG: Cm
# size of the total moment: 15.000 μB per formula unit
# calculated density: 5.1 Mg/m³
# energy relative to the elements, uncorrected: -1.9786 eV/atom